# 1
# SrLi2Hg2, relaxed, DFT GGA-PBEsol
# **Electronic total energy**: -1.75 eV/atom
# **Energy relative to the lowest polymorph listed for this composition**: 42 meV/atom
# **Energy of formation from the pure elements**: -0.37 eV per atom
# **DOS at the Fermi energy**: 5.39 states/eV/cell
data_SrLi2Hg2
_chemical_formula_sum 'Sr2 Li4 Hg4'
_cell_length_a 8.069
_cell_length_b 8.069
_cell_length_c 3.374
_cell_angle_alpha 90.00
_cell_angle_beta 90.00
_cell_angle_gamma 90.00
_symmetry_space_group_name_H-M 'P 4/m b m'
_symmetry_Int_Tables_number 127
_symmetry_space_group_name_Hall '-P 4 2ab'
loop_
_atom_site_label
_atom_site_type_symbol
_atom_site_fract_x
_atom_site_fract_y
_atom_site_fract_z
_atom_site_occupancy
Sr1 Sr 0.000 0.000 0.000 1
Li1 Li 0.119 0.381 0.000 1
Hg1 Hg 0.173 0.673 0.500 1

***

# 2
# As3PdRh, relaxed, DFT GGA-PBEsol
# **Electronic total energy**: -4.99 eV/atom
# **Energy of formation from the pure elements**: 0.90 eV per atom
# **DOS at the Fermi energy**: 3.40 states/eV/cell
data_As3PdRh
_chemical_formula_sum 'As3 Pd1 Rh1'
_cell_length_a 4.697
_cell_length_b 4.697
_cell_length_c 4.697
_cell_angle_alpha 90.00
_cell_angle_beta 90.00
_cell_angle_gamma 90.00
_symmetry_space_group_name_H-M 'P m -3 m'
_symmetry_Int_Tables_number 221
_symmetry_space_group_name_Hall '-P 4 2 3'
loop_
_atom_site_label
_atom_site_type_symbol
_atom_site_fract_x
_atom_site_fract_y
_atom_site_fract_z
_atom_site_occupancy
As1 As 0.000 0.000 0.500 1
Pd1 Pd 0.000 0.000 0.000 1
Rh1 Rh 0.500 0.500 0.500 1

***

# 3
# KMnSeN2, relaxed, DFT GGA-PBEsol
# **Electronic total energy**: -4.03 eV/atom
# **Formation energy from raw total energies**: 11.627 eV per formula unit
# **DOS at the Fermi energy**: 2.18 states/eV/cell
data_KMnSeN2
_chemical_formula_sum 'K1 Mn1 Se1 N2'
_cell_length_a 4.584
_cell_length_b 4.584
_cell_length_c 6.114
_cell_angle_alpha 90.00
_cell_angle_beta 90.00
_cell_angle_gamma 90.00
_symmetry_space_group_name_H-M 'P 4/m m m'
_symmetry_Int_Tables_number 123
_symmetry_space_group_name_Hall '-P 4 2'
loop_
_atom_site_label
_atom_site_type_symbol
_atom_site_fract_x
_atom_site_fract_y
_atom_site_fract_z
_atom_site_occupancy
K1 K 0.000 0.000 0.000 1
Mn1 Mn 0.500 0.500 0.500 1
Se1 Se 0.000 0.000 0.500 1
N1 N 0.000 0.500 0.000 1

***

# 4
# ZnCdPb2, relaxed, DFT GGA-PBEsol
# **Electronic total energy**: -2.54 eV/atom
# **Energy relative to the lowest polymorph listed for this composition**: 63 meV/atom
# **Energy of formation from the pure elements**: 0.16 eV per atom
# **DOS at the Fermi energy**: 1.74 states/eV/cell
data_ZnCdPb2
_chemical_formula_sum 'Zn1 Cd1 Pb2'
_cell_length_a 4.216
_cell_length_b 4.732
_cell_length_c 4.865
_cell_angle_alpha 90.00
_cell_angle_beta 90.00
_cell_angle_gamma 90.00
_symmetry_space_group_name_H-M 'P m m m'
_symmetry_Int_Tables_number 47
loop_
_symmetry_equiv_pos_as_xyz
'x,y,z'
'-x,-y,-z'
'-x,-y,z'
'x,y,-z'
'x,-y,-z'
'-x,y,z'
'-x,y,-z'
'x,-y,z'
loop_
_atom_site_label
_atom_site_type_symbol
_atom_site_fract_x
_atom_site_fract_y
_atom_site_fract_z
_atom_site_occupancy
Zn1 Zn 0.000 0.000 0.000 1
Cd1 Cd 0.000 0.500 0.500 1
Pb1 Pb 0.500 0.000 0.500 1
Pb2 Pb 0.500 0.500 0.000 1

***

# 5
# KTl2Te, relaxed, DFT GGA-PBEsol
# **Electronic total energy**: -2.73 eV/atom
# **Formation energy from raw total energies**: -1.016 eV per formula unit
# **Energy relative to the lowest polymorph listed for this composition**: 143 meV/atom
# **DOS at the Fermi energy**: 15.52 states/eV/cell
data_KTl2Te
_chemical_formula_sum 'K4 Tl8 Te4'
_cell_length_a 7.955
_cell_length_b 7.955
_cell_length_c 7.955
_cell_angle_alpha 90.00
_cell_angle_beta 90.00
_cell_angle_gamma 90.00
_symmetry_space_group_name_H-M 'F -4 3 m'
_symmetry_Int_Tables_number 216
_symmetry_space_group_name_Hall 'F -4 2 3'
loop_
_atom_site_label
_atom_site_type_symbol
_atom_site_fract_x
_atom_site_fract_y
_atom_site_fract_z
_atom_site_occupancy
K1 K 0.000 0.000 0.000 1
Tl1 Tl 0.000 0.000 0.500 1
Tl2 Tl 0.250 0.250 0.750 1
Te1 Te 0.250 0.250 0.250 1

***

# 6
# LuZnSn2, relaxed, DFT GGA-PBEsol
# **Electronic total energy**: -4.17 eV/atom
# **Energy of formation from the pure elements**: -0.43 eV per atom
# **DOS at the Fermi energy**: 3.45 states/eV/cell
data_LuZnSn2
_chemical_formula_sum 'Lu2 Zn2 Sn4'
_cell_length_a 4.256
_cell_length_b 4.256
_cell_length_c 9.501
_cell_angle_alpha 90.00
_cell_angle_beta 90.00
_cell_angle_gamma 90.00
_symmetry_space_group_name_H-M 'P 4/n m m'
_symmetry_Int_Tables_number 129
loop_
_symmetry_equiv_pos_as_xyz
'x,y,z'
'-x,-y,-z'
'-y+1/2,x,z'
'y+1/2,-x,-z'
'-x+1/2,-y+1/2,z'
'x+1/2,y+1/2,-z'
'y,-x+1/2,z'
'-y,x+1/2,-z'
'x+1/2,-y,-z'
'-x+1/2,y,z'
'-y,-x,-z'
'y,x,z'
'-x,y+1/2,-z'
'x,-y+1/2,z'
'y+1/2,x+1/2,-z'
'-y+1/2,-x+1/2,z'
loop_
_atom_site_label
_atom_site_type_symbol
_atom_site_fract_x
_atom_site_fract_y
_atom_site_fract_z
_atom_site_occupancy
Lu1 Lu 0.250 0.250 0.248 1
Zn1 Zn 0.250 0.750 0.000 1
Sn1 Sn 0.250 0.250 0.810 1
Sn2 Sn 0.250 0.750 0.500 1